[1]
This record from the Alexandria database describes a relaxed KGeRh2 crystal. The functional is PBE-GGA.

Properties
Mass density: 5.25 g/cm3
Calculated total energy: -4.82 eV per atom
Crystal system: tetragonal

Unit cell a=4.951 b=4.951 c=8.912 alpha=73.87 beta=73.87 gamma=90.00
Atoms (fractional coordinates):
Rh1 0.875 0.048 0.750
K1 0.250 0.750 0.500
Rh2 0.375 0.202 0.750
Rh3 0.798 0.125 0.250
Rh4 0.952 0.625 0.250
Ge1 0.750 0.250 0.500
Ge2 0.000 0.000 0.000
K2 0.500 0.500 0.000



[2]
This record from the Alexandria database describes a relaxed KGe4Rh6 crystal. The functional is PBE-GGA.

Properties
Mass density: 8.87 g/cm3
Calculated total energy: -6.24 eV per atom
Crystal system: hexagonal

Unit cell a=3.843 b=7.298 c=7.298 alpha=120.00 beta=90.00 gamma=90.00
Atoms (fractional coordinates):
Rh1 0.000 0.932 0.466
Ge1 0.500 0.801 0.199
Rh2 0.000 0.534 0.068
Ge2 0.500 0.398 0.199
Ge3 0.000 0.333 0.667
Rh3 0.500 0.596 0.798
Rh4 0.000 0.534 0.466
Rh5 0.500 0.202 0.798
Ge4 0.500 0.801 0.602
K1 0.000 0.000 0.000
Rh6 0.500 0.202 0.404



[3]
This record from the Alexandria database describes a relaxed KGe3Rh crystal. The functional is PBE-GGA.

Properties
Mass density: 4.93 g/cm3
Crystal system: cubic
Energy relative to the lowest polymorph listed for this composition: 0.0 meV/atom

Unit cell a=4.949 b=4.949 c=4.949 alpha=90.00 beta=90.00 gamma=90.00
Atoms (fractional coordinates):
K1 0.500 0.500 0.500
Ge1 0.000 0.500 0.000
Ge2 0.000 0.000 0.500
Rh1 0.000 0.000 0.000
Ge3 0.500 0.000 0.000



[4]
This record from the Alexandria database describes a relaxed K2GeRh crystal. The functional is PBE-GGA.

Properties
Mass density: 2.34 g/cm3
Calculated total energy: -3.46 eV per atom
Crystal system: tetragonal

Unit cell a=12.468 b=12.468 c=9.117 alpha=46.86 beta=46.86 gamma=90.00
Atoms (fractional coordinates):
K1 0.908 0.625 0.250
K2 0.375 0.158 0.750
Rh1 0.000 0.000 0.000
K3 0.842 0.125 0.250
Ge1 0.250 0.750 0.500
Rh2 0.750 0.250 0.500
K4 0.875 0.092 0.750
Ge2 0.500 0.500 0.000



[5]
This record from the Alexandria database describes a relaxed KGe3Rh crystal. The functional is PBE-GGA.

Properties
Mass density: 4.27 g/cm3
Crystal system: cubic
Energy relative to the lowest polymorph listed for this composition: 1838.9 meV/atom

Unit cell a=5.192 b=5.192 c=5.192 alpha=90.00 beta=90.00 gamma=90.00
Atoms (fractional coordinates):
Rh1 0.500 0.500 0.500
K1 0.000 0.000 0.000
Ge1 0.500 0.000 0.000
Ge2 0.000 0.500 0.000
Ge3 0.000 0.000 0.500



[6]
This record from the Alexandria database describes a relaxed KGe2Rh2 crystal. The functional is PBE-GGA.

Properties
Mass density: 6.53 g/cm3
Crystal system: tetragonal
Energy relative to the lowest polymorph listed for this composition: 247.8 meV/atom

Unit cell a=4.188 b=4.188 c=5.653 alpha=90.00 beta=90.00 gamma=90.00
Atoms (fractional coordinates):
Rh1 0.500 0.000 0.500
Ge1 0.500 0.500 0.745
K1 0.000 0.000 0.000
Rh2 0.000 0.500 0.500
Ge2 0.500 0.500 0.255



[7]
This record from the Alexandria database describes a relaxed KGe2Rh crystal. The functional is PBE-GGA.

Properties
Mass density: 3.91 g/cm3
Calculated total energy: -4.56 eV per atom
Crystal system: tetragonal

Unit cell a=5.774 b=5.774 c=8.382 alpha=69.85 beta=69.85 gamma=90.00
Atoms (fractional coordinates):
Ge1 0.375 0.126 0.750
Ge2 0.874 0.125 0.250
Rh1 0.000 0.000 0.000
Rh2 0.750 0.250 0.500
Ge3 0.875 0.124 0.750
K1 0.250 0.750 0.500
K2 0.500 0.500 0.000
Ge4 0.876 0.625 0.250



[8]
This record from the Alexandria database describes a relaxed KGe2Rh crystal. The functional is PBE-GGA.

Properties
Mass density: 6.45 g/cm3
Calculated total energy: -4.18 eV per atom
Crystal system: cubic

Unit cell a=4.711 b=4.711 c=4.711 alpha=60.00 beta=60.00 gamma=60.00
Atoms (fractional coordinates):
Rh1 0.500 0.500 0.500
Ge1 0.250 0.250 0.250
Ge2 0.750 0.750 0.750
K1 0.000 0.000 0.000



[9]
This record from the Alexandria database describes a relaxed KGe2Rh2 crystal. The functional is PBE-GGA.

Properties
Mass density: 7.40 g/cm3
Crystal system: tetragonal
Energy relative to the lowest polymorph listed for this composition: 280.0 meV/atom

Unit cell a=7.850 b=7.850 c=2.842 alpha=90.00 beta=90.00 gamma=90.00
Atoms (fractional coordinates):
K1 0.000 0.000 0.000
Rh1 0.642 0.858 0.500
K2 0.500 0.500 0.000
Rh2 0.358 0.142 0.500
Ge1 0.359 0.859 0.000
Rh3 0.142 0.642 0.500
Rh4 0.858 0.358 0.500
Ge2 0.141 0.359 0.000
Ge3 0.641 0.141 0.000
Ge4 0.859 0.641 0.000



[10]
This record from the Alexandria database describes a relaxed KGe2Rh2 crystal. The functional is PBE-GGA.

Properties
Mass density: 7.46 g/cm3
Crystal system: tetragonal
Energy relative to the lowest polymorph listed for this composition: 253.8 meV/atom

Unit cell a=7.809 b=7.809 c=2.847 alpha=90.00 beta=90.00 gamma=90.00
Atoms (fractional coordinates):
K1 0.500 0.500 0.000
K2 0.000 0.000 0.000
Rh1 0.636 0.136 0.000
Ge1 0.649 0.851 0.500
Rh2 0.364 0.864 0.000
Rh3 0.864 0.636 0.000
Ge2 0.351 0.149 0.500
Ge3 0.851 0.351 0.500
Rh4 0.136 0.364 0.000
Ge4 0.149 0.649 0.500



[11]
This record from the Alexandria database describes a relaxed KScGeRh2 crystal. The functional is PBE-GGA.

Properties
Mass density: 4.99 g/cm3
Crystal system: tetragonal
Energy relative to the lowest polymorph listed for this composition: 322.7 meV/atom

Unit cell a=4.711 b=5.436 c=4.711 alpha=90.00 beta=90.00 gamma=90.00
Atoms (fractional coordinates):
Rh1 0.500 0.000 0.000
Ge1 0.500 0.500 0.500
Sc1 0.000 0.000 0.000
Rh2 0.000 0.000 0.500
K1 0.000 0.500 0.000



[12]
This record from the Alexandria database describes a relaxed KScGeRh2 crystal. The functional is PBE-GGA.

Properties
Mass density: 5.25 g/cm3
Crystal system: tetragonal
Energy relative to the lowest polymorph listed for this composition: 0.0 meV/atom

Unit cell a=4.648 b=5.302 c=4.648 alpha=90.00 beta=90.00 gamma=90.00
Atoms (fractional coordinates):
Sc1 0.500 0.500 0.500
Ge1 0.000 0.000 0.000
Rh1 0.000 0.000 0.500
K1 0.000 0.500 0.000
Rh2 0.500 0.000 0.000